Entry 1:
Computed, not measured: an optimized crystal structure of Tb4Tm5Tl at the PBE level of DFT.

The value obtained for the polymorph energy (0 for the lowest one) is 0.000 eV per atom. Its total energy is -43.779 eV/f.u. For the density of states at the Fermi level, the calculation gives 13.01 states/eV/cell. For the calculated formation energy, the calculation gives -0.05 eV per atom.

a = 3.5379 Å, b = 3.5379 Å, c = 24.1338 Å
α = 90.00°, β = 90.00°, γ = 90.00°
Element x y z (fractional)
Tm: 0.5000 0.5000 0.2942
Tb: 0.0000 0.0000 0.1899
Tl: 0.0000 0.0000 0.0000
Tb: 0.0000 0.0000 0.8101
Tb: 0.0000 0.0000 0.3969
Tm: 0.5000 0.5000 0.7058
Tb: 0.0000 0.0000 0.6031
Tm: 0.5000 0.5000 0.0879
Tm: 0.5000 0.5000 0.9121
Tm: 0.5000 0.5000 0.5000



Entry 2:
Computed, not measured: an optimized crystal structure of Tb5TmTl5 at the PBE level of DFT.

Its total energy is -40.671 eV/f.u. For the density of states at the Fermi level, the calculation gives 11.10 states/eV/cell. For the calculated formation energy, the calculation gives -0.11 eV per atom.

a = 5.7073 Å, b = 9.3911 Å, c = 7.0344 Å
α = 112.68°, β = 90.00°, γ = 107.69°
Element x y z (fractional)
Tb: 0.3130 0.6260 0.8200
Tl: 0.8386 0.6772 0.0707
Tb: 0.6381 0.2762 0.6290
Tl: 0.1614 0.3228 0.9293
Tl: 0.8378 0.6756 0.6063
Tb: 0.6870 0.3740 0.1800
Tl: 0.1622 0.3244 0.3937
Tb: 0.3619 0.7238 0.3710
Tm: 0.0000 0.0000 0.0000
Tb: 0.0000 0.0000 0.5000
Tl: 0.5000 0.0000 0.0000



Entry 3:
Computed, not measured: an optimized crystal structure of Tb4Tm5Tl at the PBE level of DFT.

The value obtained for the polymorph energy (0 for the lowest one) is 0.185 eV per atom. Its total energy is -41.933 eV/f.u. For the density of states at the Fermi level, the calculation gives 14.38 states/eV/cell. For the calculated formation energy, the calculation gives 0.13 eV per atom.

a = 5.7327 Å, b = 7.9964 Å, c = 7.9964 Å
α = 82.62°, β = 68.99°, γ = 68.99°
Element x y z (fractional)
Tm: 0.6654 0.0000 0.0000
Tm: 0.1408 0.6298 0.0000
Tb: 0.4597 0.6835 0.3165
Tl: 0.1831 0.0000 0.0000
Tm: 0.1408 0.0000 0.6298
Tb: 0.7762 0.6835 0.6835
Tb: 0.4598 0.3165 0.6835
Tb: 0.1432 0.3165 0.3165
Tm: 0.7706 0.3702 0.0000
Tm: 0.7706 0.0000 0.3702



Entry 4:
Computed, not measured: an optimized crystal structure of TbTm3Tl at the PBE level of DFT.

The value obtained for the polymorph energy (0 for the lowest one) is 0.073 eV per atom. Its total energy is -20.598 eV/f.u. For the density of states at the Fermi level, the calculation gives 25.07 states/eV/cell. For the calculated formation energy, the calculation gives -0.04 eV per atom.

a = 6.4666 Å, b = 9.7323 Å, c = 9.7323 Å
α = 84.08°, β = 79.61°, γ = 79.61°
Element x y z (fractional)
Tm: 0.0243 0.4088 0.7886
Tm: 0.6398 0.6244 0.9973
Tb: 0.0362 0.6721 0.5377
Tl: 0.2500 0.8316 0.1684
Tm: 0.6409 0.8769 0.7287
Tm: 0.9757 0.5912 0.2114
Tb: 0.5362 0.5377 0.6721
Tm: 0.8602 0.0027 0.3756
Tm: 0.3602 0.3756 0.0027
Tm: 0.1409 0.7287 0.8769
Tm: 0.1398 0.9973 0.6244
Tm: 0.4757 0.2114 0.5912
Tm: 0.5243 0.7886 0.4088
Tl: 0.7500 0.1684 0.8316
Tb: 0.4638 0.4623 0.3279
Tl: 0.2500 0.0828 0.9172
Tl: 0.7500 0.9172 0.0828
Tb: 0.9638 0.3279 0.4623
Tm: 0.8591 0.2713 0.1231
Tm: 0.3591 0.1231 0.2713



Entry 5:
Computed, not measured: an optimized crystal structure of Tb3Tm2Tl at the PBE level of DFT.

The value obtained for the polymorph energy (0 for the lowest one) is 0.000 eV per atom. Its total energy is -25.867 eV/f.u. For the density of states at the Fermi level, the calculation gives 6.37 states/eV/cell. For the calculated formation energy, the calculation gives -0.11 eV per atom.

a = 4.8281 Å, b = 4.8758 Å, c = 7.9039 Å
α = 107.97°, β = 90.00°, γ = 90.00°
Element x y z (fractional)
Tm: 0.0000 0.6637 0.3275
Tb: 0.5000 0.5000 0.0000
Tl: 0.0000 0.0000 0.0000
Tb: 0.5000 0.1697 0.3394
Tb: 0.5000 0.8303 0.6606
Tm: 0.0000 0.3363 0.6725



Entry 6:
Computed, not measured: an optimized crystal structure of Tb9Tm2Tl at the PBE level of DFT.

Its total energy is -53.512 eV/f.u. For the density of states at the Fermi level, the calculation gives 14.90 states/eV/cell. For the calculated formation energy, the calculation gives -0.04 eV per atom.

a = 4.9394 Å, b = 4.9394 Å, c = 15.1069 Å
α = 90.00°, β = 90.00°, γ = 90.00°
Element x y z (fractional)
Tb: 0.0000 0.5000 0.5000
Tb: 0.5000 0.0000 0.1638
Tb: 0.5000 0.5000 0.0000
Tb: 0.5000 0.0000 0.5000
Tm: 0.0000 0.0000 0.6671
Tb: 0.5000 0.5000 0.6699
Tl: 0.0000 0.0000 0.0000
Tb: 0.5000 0.5000 0.3301
Tb: 0.0000 0.5000 0.1638
Tb: 0.0000 0.5000 0.8362
Tm: 0.0000 0.0000 0.3329
Tb: 0.5000 0.0000 0.8362



Entry 7:
Computed, not measured: an optimized crystal structure of Tb5Tm12Tl2 at the PBE level of DFT.

Its total energy is -81.102 eV/f.u. For the density of states at the Fermi level, the calculation gives 27.50 states/eV/cell. For the calculated formation energy, the calculation gives 0.02 eV per atom.

a = 9.2591 Å, b = 8.9514 Å, c = 8.1622 Å
α = 91.20°, β = 90.00°, γ = 121.14°
Element x y z (fractional)
Tm: 0.9129 0.8258 0.1138
Tb: 0.3106 0.6213 0.9966
Tm: 0.4294 0.2511 0.6579
Tl: 0.3099 0.0000 0.0000
Tm: 0.1783 0.7489 0.3421
Tb: 0.6894 0.3787 0.0034
Tb: 0.7641 0.5283 0.4192
Tb: 0.0000 0.0000 0.5000
Tm: 0.6646 0.6984 0.7617
Tm: 0.5706 0.7489 0.3421
Tm: 0.4480 0.8960 0.6787
Tm: 0.0871 0.1742 0.8862
Tb: 0.2359 0.4717 0.5808
Tm: 0.3354 0.3016 0.2383
Tm: 0.5520 0.1040 0.3213
Tl: 0.6901 0.0000 0.0000
Tm: 0.9662 0.3016 0.2383
Tm: 0.0338 0.6984 0.7617
Tm: 0.8217 0.2511 0.6579



Entry 8:
Computed, not measured: an optimized crystal structure of Tb2TmTl2 at the PBE level of DFT.

The value obtained for the polymorph energy (0 for the lowest one) is 0.000 eV per atom. Its total energy is -19.819 eV/f.u. For the density of states at the Fermi level, the calculation gives 9.31 states/eV/cell. For the calculated formation energy, the calculation gives -0.27 eV per atom.

a = 3.7512 Å, b = 5.3622 Å, c = 14.1396 Å
α = 90.00°, β = 97.65°, γ = 90.00°
Element x y z (fractional)
Tl: 0.4487 0.7500 0.8983
Tl: 0.3564 0.2500 0.7110
Tl: 0.6436 0.7500 0.2890
Tb: 0.7616 0.2500 0.5240
Tb: 0.2384 0.7500 0.4760
Tm: 0.1498 0.2500 0.3010
Tb: 0.0487 0.7500 0.0971
Tl: 0.5513 0.2500 0.1017
Tb: 0.9513 0.2500 0.9029
Tm: 0.8502 0.7500 0.6990



Entry 9:
Computed, not measured: an optimized crystal structure of TbTm4Tl4 at the PBE level of DFT.

Its total energy is -33.213 eV/f.u. For the density of states at the Fermi level, the calculation gives 11.06 states/eV/cell. For the calculated formation energy, the calculation gives -0.14 eV per atom.

a = 5.7305 Å, b = 9.4889 Å, c = 9.4889 Å
α = 90.00°, β = 90.00°, γ = 90.00°
Element x y z (fractional)
Tm: 0.1078 0.9206 0.3465
Tm: 0.8922 0.3465 0.0794
Tl: 0.8982 0.6042 0.2900
Tb: 0.5000 0.5000 0.5000
Tm: 0.3922 0.4206 0.8465
Tm: 0.6078 0.8465 0.5794
Tl: 0.6018 0.1042 0.7900
Tm: 0.8922 0.6535 0.9206
Tl: 0.3982 0.2100 0.1042
Tb: 0.0000 0.0000 0.0000
Tl: 0.1018 0.7100 0.6042
Tm: 0.1078 0.0794 0.6535
Tl: 0.1018 0.2900 0.3958
Tm: 0.6078 0.1535 0.4206
Tl: 0.8982 0.3958 0.7100
Tl: 0.6018 0.8958 0.2100
Tl: 0.3982 0.7900 0.8958
Tm: 0.3922 0.5794 0.1535



Entry 10:
Computed, not measured: an optimized crystal structure of TbTm2Tl at the PBE level of DFT.

The value obtained for the polymorph energy (0 for the lowest one) is 0.059 eV per atom. Its total energy is -16.376 eV/f.u. For the density of states at the Fermi level, the calculation gives 3.78 states/eV/cell. For the calculated formation energy, the calculation gives -0.11 eV per atom.

a = 3.5260 Å, b = 3.5260 Å, c = 11.1318 Å
α = 80.89°, β = 80.89°, γ = 60.00°
Element x y z (fractional)
Tb: 0.5000 0.5000 0.5000
Tl: 0.0000 0.0000 0.0000
Tm: 0.7464 0.7464 0.7608
Tm: 0.2536 0.2536 0.2392



Entry 11:
Computed, not measured: an optimized crystal structure of Tb3Tm3Tl at the PBE level of DFT.

Its total energy is -30.159 eV/f.u. For the density of states at the Fermi level, the calculation gives 19.96 states/eV/cell. For the calculated formation energy, the calculation gives -0.07 eV per atom.

a = 5.4950 Å, b = 9.3656 Å, c = 9.3655 Å
α = 120.02°, β = 90.00°, γ = 90.00°
Element x y z (fractional)
Tm: 0.7500 0.1762 0.9390
Tm: 0.2500 0.9387 0.7625
Tb: 0.2500 0.1060 0.4772
Tm: 0.2500 0.2375 0.1763
Tb: 0.2500 0.3710 0.8940
Tm: 0.7500 0.0613 0.2375
Tb: 0.7500 0.4774 0.3711
Tb: 0.2500 0.5226 0.6289
Tl: 0.2500 0.6668 0.3332
Tb: 0.7500 0.8940 0.5228
Tl: 0.7500 0.3332 0.6668
Tm: 0.2500 0.8238 0.0610
Tm: 0.7500 0.7625 0.8237
Tb: 0.7500 0.6290 0.1060



Entry 12:
Computed, not measured: an optimized crystal structure of Tb8Tm2Tl at the PBE level of DFT.

Its total energy is -48.144 eV/f.u. For the density of states at the Fermi level, the calculation gives 16.21 states/eV/cell. For the calculated formation energy, the calculation gives 0.02 eV per atom.

a = 5.3618 Å, b = 8.2703 Å, c = 9.0147 Å
α = 114.70°, β = 107.30°, γ = 90.00°
Element x y z (fractional)
Tb: 0.3309 0.0959 0.6619
Tb: 0.6691 0.9041 0.3381
Tm: 0.8007 0.3492 0.6015
Tl: 0.5000 0.0000 0.0000
Tm: 0.1993 0.6508 0.3985
Tb: 0.1617 0.2049 0.3233
Tb: 0.3904 0.5666 0.7807
Tb: 0.0188 0.7259 0.0376
Tb: 0.8383 0.7951 0.6767
Tb: 0.6096 0.4334 0.2193
Tb: 0.9812 0.2741 0.9624



Entry 13:
Computed, not measured: an optimized crystal structure of TbTm2Tl at the PBE level of DFT.

The value obtained for the polymorph energy (0 for the lowest one) is 0.063 eV per atom. Its total energy is -16.362 eV/f.u. For the density of states at the Fermi level, the calculation gives 4.94 states/eV/cell. For the calculated formation energy, the calculation gives -0.11 eV per atom.

a = 3.5565 Å, b = 3.5565 Å, c = 11.0510 Å
α = 80.75°, β = 80.75°, γ = 60.00°
Element x y z (fractional)
Tm: 0.2540 0.2540 0.2379
Tm: 0.0794 0.0794 0.7616
Tb: 0.5000 0.5000 0.5002
Tl: 0.6666 0.6666 0.0003



Entry 14:
Computed, not measured: an optimized crystal structure of Tb9TmTl2 at the PBE level of DFT.

Its total energy is -52.245 eV/f.u. For the density of states at the Fermi level, the calculation gives 14.78 states/eV/cell. For the calculated formation energy, the calculation gives -0.11 eV per atom.

a = 4.8834 Å, b = 4.8834 Å, c = 14.9873 Å
α = 90.00°, β = 90.00°, γ = 90.00°
Element x y z (fractional)
Tb: 0.0000 0.5000 0.5000
Tb: 0.5000 0.0000 0.8294
Tl: 0.0000 0.0000 0.3398
Tb: 0.0000 0.5000 0.1706
Tm: 0.0000 0.0000 0.0000
Tb: 0.5000 0.5000 0.0000
Tb: 0.5000 0.5000 0.3357
Tb: 0.5000 0.0000 0.1706
Tb: 0.5000 0.0000 0.5000
Tl: 0.0000 0.0000 0.6602
Tb: 0.0000 0.5000 0.8294
Tb: 0.5000 0.5000 0.6643



Entry 15:
Computed, not measured: an optimized crystal structure of TbTm7Tl4 at the PBE level of DFT.

Its total energy is -45.153 eV/f.u. For the density of states at the Fermi level, the calculation gives 12.72 states/eV/cell. For the calculated formation energy, the calculation gives 0.02 eV per atom.

a = 5.7157 Å, b = 9.0363 Å, c = 7.9531 Å
α = 68.90°, β = 68.94°, γ = 71.56°
Element x y z (fractional)
Tm: 0.5000 0.0000 0.0000
Tm: 0.7439 0.3015 0.2108
Tm: 0.0700 0.5900 0.2701
Tm: 0.2035 0.1217 0.4713
Tm: 0.2561 0.6985 0.7892
Tm: 0.7965 0.8783 0.5287
Tl: 0.6849 0.6622 0.9679
Tm: 0.9300 0.4100 0.7299
Tl: 0.5488 0.2883 0.6141
Tl: 0.4512 0.7117 0.3859
Tl: 0.3151 0.3378 0.0321
Tb: 0.0000 0.0000 0.0000



Entry 16:
Computed, not measured: an optimized crystal structure of Tb2Tm4Tl at the PBE level of DFT.

The value obtained for the polymorph energy (0 for the lowest one) is 0.055 eV per atom. Its total energy is -29.448 eV/f.u. For the density of states at the Fermi level, the calculation gives 17.66 states/eV/cell. For the calculated formation energy, the calculation gives 0.01 eV per atom.

a = 5.8037 Å, b = 6.5983 Å, c = 11.4133 Å
α = 90.00°, β = 105.98°, γ = 90.00°
Element x y z (fractional)
Tm: 0.3748 0.9909 0.7107
Tm: 0.3748 0.5091 0.7107
Tb: 0.7339 0.7500 0.5669
Tl: 0.8561 0.2500 0.8452
Tm: 0.8536 0.2500 0.5714
Tb: 0.2661 0.2500 0.4331
Tm: 0.9969 0.7500 0.8657
Tm: 0.0031 0.2500 0.1343
Tm: 0.6252 0.0091 0.2893
Tb: 0.4154 0.2500 0.9791
Tm: 0.1464 0.7500 0.4286
Tm: 0.6252 0.4909 0.2893
Tl: 0.1439 0.7500 0.1548
Tb: 0.5846 0.7500 0.0209



Entry 17:
Computed, not measured: an optimized crystal structure of Tb7Tm4Tl at the PBE level of DFT.

Its total energy is -52.909 eV/f.u. For the density of states at the Fermi level, the calculation gives 15.00 states/eV/cell. For the calculated formation energy, the calculation gives -0.02 eV per atom.

a = 3.5413 Å, b = 3.5413 Å, c = 34.0525 Å
α = 90.00°, β = 90.00°, γ = 120.00°
Element x y z (fractional)
Tm: 0.3333 0.6667 0.6625
Tb: 0.3333 0.6667 0.4211
Tb: 0.0000 0.0000 0.7466
Tm: 0.3333 0.6667 0.9161
Tm: 0.6667 0.3333 0.3375
Tb: 0.0000 0.0000 0.2534
Tb: 0.6667 0.3333 0.8322
Tl: 0.0000 0.0000 0.5000
Tm: 0.6667 0.3333 0.0839
Tb: 0.3333 0.6667 0.1678
Tb: 0.6667 0.3333 0.5789
Tb: 0.0000 0.0000 0.0000



Entry 18:
Computed, not measured: an optimized crystal structure of Tb5Tm4Tl at the PBE level of DFT.

The value obtained for the polymorph energy (0 for the lowest one) is 0.000 eV per atom. Its total energy is -43.887 eV/f.u. For the density of states at the Fermi level, the calculation gives 13.34 states/eV/cell. For the calculated formation energy, the calculation gives -0.05 eV per atom.

a = 3.5385 Å, b = 3.5385 Å, c = 24.3219 Å
α = 90.00°, β = 90.00°, γ = 90.00°
Element x y z (fractional)
Tm: 0.0000 0.0000 0.8070
Tm: 0.0000 0.0000 0.1930
Tb: 0.5000 0.5000 0.2955
Tm: 0.0000 0.0000 0.6024
Tb: 0.5000 0.5000 0.7045
Tm: 0.0000 0.0000 0.3976
Tb: 0.5000 0.5000 0.5000
Tb: 0.5000 0.5000 0.0903
Tb: 0.5000 0.5000 0.9097
Tl: 0.0000 0.0000 0.0000



Entry 19:
Computed, not measured: an optimized crystal structure of Tb12Tm5Tl2 at the PBE level of DFT.

Its total energy is -82.155 eV/f.u. For the density of states at the Fermi level, the calculation gives 28.07 states/eV/cell. For the calculated formation energy, the calculation gives 0.03 eV per atom.

a = 9.2663 Å, b = 8.9464 Å, c = 8.3423 Å
α = 91.66°, β = 90.00°, γ = 121.19°
Element x y z (fractional)
Tb: 0.8208 0.2481 0.6534
Tl: 0.6862 0.0000 0.0000
Tb: 0.5534 0.1067 0.3209
Tl: 0.3138 0.0000 0.0000
Tb: 0.6626 0.6961 0.7631
Tb: 0.4466 0.8933 0.6791
Tm: 0.3136 0.6272 0.9976
Tm: 0.2347 0.4693 0.5843
Tm: 0.0000 0.0000 0.5000
Tb: 0.9128 0.8255 0.1139
Tm: 0.7653 0.5307 0.4157
Tb: 0.0334 0.6961 0.7631
Tb: 0.0872 0.1745 0.8861
Tb: 0.4273 0.2481 0.6534
Tm: 0.6864 0.3728 0.0024
Tb: 0.3374 0.3039 0.2369
Tb: 0.9666 0.3039 0.2369
Tb: 0.1792 0.7519 0.3466
Tb: 0.5727 0.7519 0.3466



Entry 20:
Computed, not measured: an optimized crystal structure of TbTm8Tl2 at the PBE level of DFT.

Its total energy is -44.995 eV/f.u. For the density of states at the Fermi level, the calculation gives 14.35 states/eV/cell. For the calculated formation energy, the calculation gives 0.01 eV per atom.

a = 5.5026 Å, b = 8.7041 Å, c = 8.7041 Å
α = 119.45°, β = 101.52°, γ = 101.52°
Element x y z (fractional)
Tm: 0.5000 0.7834 0.2166
Tm: 0.2979 0.5980 0.5980
Tl: 0.0000 0.6937 0.3063
Tm: 0.1191 0.3222 0.0956
Tb: 0.5000 0.0000 0.0000
Tm: 0.8809 0.9044 0.6778
Tm: 0.7021 0.4020 0.4020
Tm: 0.5000 0.2166 0.7834
Tm: 0.8809 0.6778 0.9044
Tl: 0.0000 0.3063 0.6937
Tm: 0.1191 0.0956 0.3222